[1]
## Cu3Ag (PBE-GGA)

Data for crystalline Cu3Ag at its relaxed geometry.

Formation enthalpy at 0 K   0.0785 eV per atom

Cell lengths 9.242, 5.350, 4.582 Å; angles 90.00, 109.41, 90.00 degrees
Space group C2/m (No. 12)
Symmetry-distinct sites (fractional):
Cu1 0.120 0.000 0.238 x4
Cu2 0.123 0.241 0.752 x8
Ag1 0.130 0.500 0.264 x4

[2]
## Tl2W (PBE-GGA)

Data for crystalline Tl2W at its relaxed geometry.

Excess energy over the best structure of this formula in the dataset   29 kJ/mol of formula units

Cell lengths 12.198, 12.198, 12.198 Å; angles 90.00, 90.00, 90.00 degrees
Space group Fd-3m (No. 227, origin choice 2)
Symmetry-distinct sites (fractional):
Tl1 0.000 0.000 0.000 x16
W1 0.125 0.125 0.125 x8

[3]
## BaLuAu (PBE-GGA)

Data for crystalline BaLuAu at its relaxed geometry.

Excess energy over the best structure of this formula in the dataset   0 kJ/mol of formula units

Cell lengths 7.444, 7.444, 7.444 Å; angles 90.00, 90.00, 90.00 degrees
Space group F-43m (No. 216)
Symmetry-distinct sites (fractional):
Ba1 0.000 0.000 0.000 x4
Lu1 0.000 0.000 0.500 x4
Au1 0.250 0.250 0.250 x4

[4]
## MgScTe3Au (PBE-GGA)

Data for crystalline MgScTe3Au at its relaxed geometry.

E_tot   -4.104 eV/atom

Cell lengths 3.982, 14.125, 10.897 Å; angles 90.00, 90.00, 90.00 degrees
Space group Cmcm (No. 63)
Symmetry-distinct sites (fractional):
Mg1 0.000 0.201 0.250 x4
Sc1 0.000 0.000 0.000 x4
Te1 0.000 0.112 0.750 x4
Te2 0.000 0.352 0.550 x8
Au1 0.000 0.471 0.750 x4